(1)
{
  "formula": "YTl2SbSe4",
  "functional": "PBE",
  "state": "relaxed",
  "mass_density_g_cm3": 6.63,
  "final_energy_ev_per_atom": -4.506,
  "raw_formation_energy_ev_per_atom": -0.849,
  "cell": [[8.721, -0.002, 0.014], [-0.009, 8.721, 0.014], [-4.273, -4.276, 6.148]],
  "species": ["Se", "Se", "Se", "Se", "Se", "Se", "Se", "Se", "Sb", "Sb", "Y", "Y", "Tl", "Tl", "Tl", "Tl"],
  "fractional_positions": [[0.236, 0.264, 0.476], [0.236, 0.264, 0.024], [0.764, 0.736, 0.976], [0.792, 0.265, 0.029], [0.765, 0.292, 0.529], [0.764, 0.736, 0.524], [0.208, 0.735, 0.971], [0.235, 0.708, 0.471], [0.000, 0.000, 0.000], [0.500, 0.500, 0.500], [0.000, 0.500, 0.000], [0.000, 0.500, 0.500], [0.000, 0.000, 0.500], [0.500, 0.500, 0.000], [0.500, 0.000, 0.000], [0.500, 0.000, 0.500]]
}

(2)
{
  "formula": "Y6TlSb2Se3",
  "functional": "PBE",
  "state": "relaxed",
  "mass_density_g_cm3": 6.21,
  "final_energy_ev_per_atom": -6.308,
  "raw_formation_energy_ev_per_atom": -1.320,
  "cell": [[4.203, 0.000, 0.000], [0.000, 8.583, 0.307], [-2.102, -2.476, 8.947]],
  "species": ["Y", "Y", "Y", "Y", "Y", "Y", "Se", "Se", "Se", "Sb", "Sb", "Tl"],
  "fractional_positions": [[0.332, 0.923, 0.665], [0.997, 0.257, 0.993], [0.334, 0.412, 0.668], [0.003, 0.743, 0.007], [0.666, 0.588, 0.332], [0.668, 0.077, 0.335], [0.831, 0.167, 0.662], [0.169, 0.833, 0.338], [0.500, 0.500, 0.000], [0.166, 0.333, 0.332], [0.834, 0.667, 0.668], [0.500, 0.000, 0.000]]
}

(3)
{
  "formula": "Tm4SbSe",
  "functional": "PBE",
  "state": "relaxed",
  "mass_density_g_cm3": 8.64,
  "final_energy_ev_per_atom": -5.062,
  "raw_formation_energy_ev_per_atom": -0.813,
  "cell": [[7.244, -0.668, 0.000], [-1.643, 6.492, 0.000], [-2.800, -2.912, 7.332]],
  "species": ["Tm", "Tm", "Tm", "Tm", "Tm", "Tm", "Tm", "Tm", "Sb", "Sb", "Se", "Se"],
  "fractional_positions": [[0.202, 0.967, 0.379], [0.687, 0.758, 0.068], [0.882, 0.310, 0.068], [0.118, 0.690, 0.932], [0.313, 0.242, 0.932], [0.798, 0.033, 0.621], [0.677, 0.412, 0.379], [0.323, 0.588, 0.621], [0.390, 0.640, 0.281], [0.610, 0.360, 0.719], [0.938, 0.188, 0.377], [0.062, 0.812, 0.623]]
}

(4)
{
  "formula": "Tm6SbSe5",
  "functional": "PBE",
  "state": "relaxed",
  "mass_density_g_cm3": 8.85,
  "final_energy_ev_per_atom": -5.591,
  "raw_formation_energy_ev_per_atom": -1.560,
  "cell": [[6.903, -1.109, -0.858], [-2.668, 6.463, -0.858], [-0.404, -0.511, 7.054]],
  "species": ["Tm", "Tm", "Tm", "Tm", "Tm", "Tm", "Se", "Se", "Se", "Se", "Se", "Sb"],
  "fractional_positions": [[0.911, 0.570, 0.736], [0.570, 0.911, 0.736], [0.257, 0.257, 0.742], [0.089, 0.430, 0.264], [0.430, 0.089, 0.264], [0.743, 0.743, 0.258], [0.668, 0.332, 0.000], [0.838, 0.162, 0.500], [0.162, 0.838, 0.500], [0.332, 0.668, 0.000], [0.500, 0.500, 0.500], [0.000, 0.000, 0.000]]
}

(5)
{
  "formula": "Tm3SbSe2",
  "functional": "PBE",
  "state": "relaxed",
  "mass_density_g_cm3": 8.74,
  "final_energy_ev_per_atom": -5.550,
  "raw_formation_energy_ev_per_atom": -1.466,
  "polymorph_energy_mev_per_atom": 0,
  "cell": [[-2.736, -1.012, -2.933], [4.153, 0.607, -4.084], [0.799, -5.748, 4.156]],
  "species": ["Tm", "Tm", "Tm", "Se", "Se", "Sb"],
  "fractional_positions": [[0.500, 0.000, 0.500], [0.175, 0.675, 0.850], [0.825, 0.325, 0.150], [0.164, 0.164, 0.829], [0.836, 0.836, 0.171], [0.500, 0.500, 0.500]]
}

(6)
{
  "formula": "Tm5Sb4Se",
  "functional": "PBE",
  "state": "relaxed",
  "mass_density_g_cm3": 8.45,
  "final_energy_ev_per_atom": -5.437,
  "raw_formation_energy_ev_per_atom": -1.204,
  "cell": [[6.065, 0.000, 0.000], [3.032, 6.760, 0.000], [3.032, 0.000, 6.760]],
  "species": ["Tm", "Tm", "Tm", "Tm", "Tm", "Sb", "Sb", "Sb", "Sb", "Se"],
  "fractional_positions": [[0.501, 0.000, 0.000], [0.101, 0.606, 0.194], [0.707, 0.194, 0.394], [0.295, 0.806, 0.606], [0.901, 0.394, 0.806], [0.598, 0.602, 0.203], [0.404, 0.398, 0.797], [0.801, 0.797, 0.602], [0.201, 0.203, 0.398], [0.001, 0.000, 0.000]]
}

(7)
{
  "formula": "TmSbSe",
  "functional": "PBE",
  "state": "relaxed",
  "mass_density_g_cm3": 8.16,
  "final_energy_ev_per_atom": -5.251,
  "raw_formation_energy_ev_per_atom": -1.225,
  "cell": [[4.121, 0.000, 0.000], [0.000, 4.121, 0.000], [-2.060, -2.060, 8.855]],
  "species": ["Se", "Se", "Sb", "Sb", "Tm", "Tm"],
  "fractional_positions": [[0.812, 0.812, 0.624], [0.188, 0.188, 0.376], [0.500, 0.000, 0.000], [0.000, 0.500, 0.000], [0.650, 0.650, 0.299], [0.350, 0.350, 0.701]]
}

(8)
{
  "formula": "Tm3SbSe6",
  "functional": "PBE",
  "state": "relaxed",
  "mass_density_g_cm3": 6.86,
  "final_energy_ev_per_atom": -5.221,
  "raw_formation_energy_ev_per_atom": -1.377,
  "cell": [[-6.339, 2.962, -0.658], [-2.803, -7.017, -4.581], [-1.877, -2.159, 8.360]],
  "species": ["Tm", "Tm", "Tm", "Tm", "Tm", "Tm", "Se", "Se", "Se", "Se", "Se", "Se", "Se", "Se", "Se", "Se", "Se", "Se", "Sb", "Sb"],
  "fractional_positions": [[0.982, 0.715, 0.916], [0.882, 0.593, 0.407], [0.382, 0.407, 0.593], [0.482, 0.285, 0.084], [0.982, 0.084, 0.285], [0.482, 0.916, 0.715], [0.118, 0.768, 0.232], [0.618, 0.232, 0.768], [0.255, 0.008, 0.992], [0.676, 0.301, 0.367], [0.176, 0.367, 0.301], [0.707, 0.560, 0.099], [0.707, 0.901, 0.440], [0.176, 0.699, 0.633], [0.676, 0.633, 0.699], [0.755, 0.992, 0.008], [0.207, 0.099, 0.560], [0.207, 0.440, 0.901], [0.001, 0.179, 0.821], [0.501, 0.821, 0.179]]
}

(9)
{
  "formula": "TmSbSe3",
  "functional": "PBE",
  "state": "relaxed",
  "mass_density_g_cm3": 5.79,
  "final_energy_ev_per_atom": -4.860,
  "raw_formation_energy_ev_per_atom": -1.050,
  "polymorph_energy_mev_per_atom": 0,
  "cell": [[-0.642, -0.308, 3.985], [-5.746, -4.150, -1.247], [6.081, -8.420, 0.329]],
  "species": ["Tm", "Tm", "Se", "Se", "Se", "Se", "Se", "Se", "Sb", "Sb"],
  "fractional_positions": [[0.250, 0.928, 0.169], [0.750, 0.072, 0.831], [0.750, 0.408, 0.676], [0.750, 0.095, 0.319], [0.250, 0.592, 0.324], [0.250, 0.230, 0.994], [0.750, 0.770, 0.006], [0.250, 0.905, 0.681], [0.250, 0.583, 0.809], [0.750, 0.417, 0.191]]
}

(10)
{
  "formula": "TmSbSe2",
  "functional": "PBE",
  "state": "relaxed",
  "mass_density_g_cm3": 5.99,
  "final_energy_ev_per_atom": -4.218,
  "raw_formation_energy_ev_per_atom": -0.327,
  "cell": [[-1.224, -1.777, 3.387], [-0.996, -3.891, -0.020], [7.680, -4.055, 3.027]],
  "species": ["Sb", "Se", "Se", "Tm"],
  "fractional_positions": [[0.500, 0.500, 0.500], [0.104, 0.104, 0.689], [0.896, 0.896, 0.311], [0.000, 0.000, 0.000]]
}

(11)
{
  "formula": "Tm4SbSe2",
  "functional": "PBE",
  "state": "relaxed",
  "mass_density_g_cm3": 8.60,
  "final_energy_ev_per_atom": -5.142,
  "raw_formation_energy_ev_per_atom": -1.002,
  "polymorph_energy_mev_per_atom": 124,
  "cell": [[-6.665, -1.454, 1.443], [3.170, -5.274, -3.279], [2.246, -3.136, 7.216]],
  "species": ["Sb", "Sb", "Tm", "Tm", "Tm", "Tm", "Tm", "Tm", "Tm", "Tm", "Se", "Se", "Se", "Se"],
  "fractional_positions": [[0.500, 0.500, 0.250], [0.500, 0.500, 0.750], [0.229, 0.229, 0.000], [0.771, 0.771, 0.000], [0.229, 0.229, 0.500], [0.771, 0.771, 0.500], [0.500, 0.000, 0.750], [0.000, 0.500, 0.250], [0.500, 0.000, 0.250], [0.000, 0.500, 0.750], [0.187, 0.813, 0.000], [0.187, 0.813, 0.500], [0.813, 0.187, 0.500], [0.813, 0.187, 0.000]]
}

(12)
{
  "formula": "Tm3Sb2Se2",
  "functional": "PBE",
  "state": "relaxed",
  "mass_density_g_cm3": 6.96,
  "final_energy_ev_per_atom": -5.329,
  "raw_formation_energy_ev_per_atom": -1.240,
  "cell": [[-0.356, 3.971, -1.060], [-6.266, 0.551, 4.170], [6.937, -0.425, 4.102]],
  "species": ["Tm", "Tm", "Tm", "Se", "Se", "Sb", "Sb"],
  "fractional_positions": [[0.000, 0.500, 0.000], [0.270, 0.743, 0.540], [0.730, 0.257, 0.460], [0.131, 0.332, 0.263], [0.869, 0.668, 0.737], [0.631, 0.801, 0.263], [0.369, 0.199, 0.737]]
}